--- w ---
First-principles (PBE) data for PrYIr after structural relaxation, as listed in OQMD.

Total moment (μB per cell): 0.01
SG: Pnma

Cell lengths 7.2861, 4.7914, 9.0366 Å; angles 90.00, 90.00, 90.00 degrees
Sites, in units of the cell vectors:
Pr 0.1418 0.7500 0.0905
Ir 0.7654 0.2500 0.5845
Ir 0.2346 0.7500 0.4155
Y 0.0000 0.7500 0.6571
Y 0.5000 0.2500 0.1571
Pr 0.8582 0.2500 0.9095
Ir 0.2654 0.2500 0.9155
Y 0.5000 0.7500 0.8429
Y 0.0000 0.2500 0.3429
Pr 0.6418 0.7500 0.4095
Ir 0.7346 0.7500 0.0845
Pr 0.3582 0.2500 0.5905

=====

--- x ---
First-principles (PBE) data for PrYIr after structural relaxation, as listed in OQMD.

Total moment (μB per cell): 0.00
SG: F-43m

Cell lengths 4.7775, 4.7775, 4.7775 Å; angles 60.00, 60.00, 60.00 degrees
Sites, in units of the cell vectors:
Pr 0.7500 0.7500 0.7500
Y 0.0000 0.0000 0.0000
Ir 0.2500 0.2500 0.2500

=====

The calculated energies rank the structures as follows, beginning with the most stable: w, x.